A plane-wave DFT calculation with PBE-GGA was carried out for an optimized crystal structure of BeAsH2.

Calculated values
ΔE to the lowest computed polymorph: 864 meV/atom
raw total energy: -2.908 eV per atom
volume: 135.19 Å³/cell
spin magnetization: 0.0 μB per formula unit

The structure in CIF format:
```
data_BeAsH2
_chemical_formula_sum 'Be4 As4 H8'
_cell_length_a 5.132
_cell_length_b 5.132
_cell_length_c 5.132
_cell_angle_alpha 90.00
_cell_angle_beta 90.00
_cell_angle_gamma 90.00
_symmetry_space_group_name_H-M 'F m -3 m'
_symmetry_Int_Tables_number 225
_symmetry_space_group_name_Hall '-F 4 2 3'
loop_
_atom_site_label
_atom_site_type_symbol
_atom_site_fract_x
_atom_site_fract_y
_atom_site_fract_z
_atom_site_occupancy
Be1 Be 0.000 0.000 0.000 1
As1 As 0.000 0.000 0.500 1
H1 H 0.250 0.250 0.250 1
```

=====

A plane-wave DFT calculation with PBE-GGA was carried out for an optimized crystal structure of Be3AsH.

Calculated values
ΔE to the lowest computed polymorph: 0 meV/atom
raw total energy: -3.337 eV per atom
volume: 46.75 Å³/cell
spin magnetization: 0.0 μB per formula unit

The structure in CIF format:
```
data_Be3AsH
_chemical_formula_sum 'Be3 As1 H1'
_cell_length_a 3.603
_cell_length_b 3.603
_cell_length_c 3.603
_cell_angle_alpha 90.00
_cell_angle_beta 90.00
_cell_angle_gamma 90.00
_symmetry_space_group_name_H-M 'P m -3 m'
_symmetry_Int_Tables_number 221
_symmetry_space_group_name_Hall '-P 4 2 3'
loop_
_atom_site_label
_atom_site_type_symbol
_atom_site_fract_x
_atom_site_fract_y
_atom_site_fract_z
_atom_site_occupancy
Be1 Be 0.000 0.000 0.500 1
As1 As 0.500 0.500 0.500 1
H1 H 0.000 0.000 0.000 1
```

=====

A plane-wave DFT calculation with PBE-GGA was carried out for an optimized crystal structure of Be2AsH.

Calculated values
ΔE to the lowest computed polymorph: 0 meV/atom
raw total energy: -3.970 eV per atom
volume: 192.93 Å³/cell
spin magnetization: 0.0 μB per formula unit

The structure in CIF format:
```
data_Be2AsH
_chemical_formula_sum 'Be8 As4 H4'
_cell_length_a 7.128
_cell_length_b 4.544
_cell_length_c 5.957
_cell_angle_alpha 90.00
_cell_angle_beta 90.00
_cell_angle_gamma 90.00
_symmetry_space_group_name_H-M 'P n m a'
_symmetry_Int_Tables_number 62
_symmetry_space_group_name_Hall '-P 2ac 2n'
loop_
_atom_site_label
_atom_site_type_symbol
_atom_site_fract_x
_atom_site_fract_y
_atom_site_fract_z
_atom_site_occupancy
Be1 Be 0.103 0.012 0.212 1
As1 As 0.161 0.250 0.879 1
H1 H 0.050 0.250 0.363 1
```

=====

A plane-wave DFT calculation with PBE-GGA was carried out for an optimized crystal structure of BeAs2H.

Calculated values
ΔE to the lowest computed polymorph: 79 meV/atom
raw total energy: -3.504 eV per atom
volume: 200.19 Å³/cell
spin magnetization: 0.0 μB per formula unit

The structure in CIF format:
```
data_BeAs2H
_chemical_formula_sum 'Be4 As8 H4'
_cell_length_a 5.850
_cell_length_b 5.850
_cell_length_c 5.850
_cell_angle_alpha 90.00
_cell_angle_beta 90.00
_cell_angle_gamma 90.00
_symmetry_space_group_name_H-M 'F m -3 m'
_symmetry_Int_Tables_number 225
_symmetry_space_group_name_Hall '-F 4 2 3'
loop_
_atom_site_label
_atom_site_type_symbol
_atom_site_fract_x
_atom_site_fract_y
_atom_site_fract_z
_atom_site_occupancy
Be1 Be 0.000 0.000 0.000 1
As1 As 0.250 0.250 0.250 1
H1 H 0.000 0.000 0.500 1
```

=====

A plane-wave DFT calculation with PBE-GGA was carried out for an optimized crystal structure of BeAsH2.

Calculated values
ΔE to the lowest computed polymorph: 0 meV/atom
raw total energy: -3.772 eV per atom
volume: 117.45 Å³/cell
spin magnetization: 0.0 μB per formula unit

The structure in CIF format:
```
data_BeAsH2
_chemical_formula_sum 'Be2 As2 H4'
_cell_length_a 3.879
_cell_length_b 3.880
_cell_length_c 8.249
_cell_angle_alpha 102.04
_cell_angle_beta 102.76
_cell_angle_gamma 94.36
_symmetry_space_group_name_H-M 'P -1'
_symmetry_Int_Tables_number 2
_symmetry_space_group_name_Hall '-P 1'
loop_
_atom_site_label
_atom_site_type_symbol
_atom_site_fract_x
_atom_site_fract_y
_atom_site_fract_z
_atom_site_occupancy
Be1 Be 0.206 0.294 0.000 1
As1 As 0.382 0.878 0.147 1
H1 H 0.029 0.531 0.548 1
H2 H 0.396 0.888 0.334 1
```

=====

A plane-wave DFT calculation with PBE-GGA was carried out for an optimized crystal structure of BeAsH.

Calculated values
ΔE to the lowest computed polymorph: 104 meV/atom
raw total energy: -3.892 eV per atom
volume: 154.64 Å³/cell
spin magnetization: 0.0 μB per formula unit

The structure in CIF format:
```
data_BeAsH
_chemical_formula_sum 'Be4 As4 H4'
_cell_length_a 6.300
_cell_length_b 3.913
_cell_length_c 6.272
_cell_angle_alpha 90.00
_cell_angle_beta 90.00
_cell_angle_gamma 90.00
_symmetry_space_group_name_H-M 'P n m a'
_symmetry_Int_Tables_number 62
_symmetry_space_group_name_Hall '-P 2ac 2n'
loop_
_atom_site_label
_atom_site_type_symbol
_atom_site_fract_x
_atom_site_fract_y
_atom_site_fract_z
_atom_site_occupancy
Be1 Be 0.116 0.250 0.027 1
As1 As 0.235 0.750 0.862 1
H1 H 0.093 0.250 0.533 1
```

=====

A plane-wave DFT calculation with PBE-GGA was carried out for an optimized crystal structure of Be2AsH.

Calculated values
ΔE to the lowest computed polymorph: 133 meV/atom
raw total energy: -3.837 eV per atom
volume: 160.47 Å³/cell
spin magnetization: 0.0 μB per formula unit

The structure in CIF format:
```
data_Be2AsH
_chemical_formula_sum 'Be6 As3 H3'
_cell_length_a 3.6411
_cell_length_b 3.6411
_cell_length_c 13.9766
_cell_angle_alpha 90.00
_cell_angle_beta 90.00
_cell_angle_gamma 120.00
_symmetry_space_group_name_H-M 'R -3 m'
_symmetry_Int_Tables_number 166
_symmetry_space_group_name_Hall '-R 3 2"'
loop_
_atom_site_label
_atom_site_type_symbol
_atom_site_fract_x
_atom_site_fract_y
_atom_site_fract_z
_atom_site_occupancy
Be1 Be 0.0000 0.0000 0.1015 1
As1 As 0.0000 0.0000 0.5000 1
H1 H 0.0000 0.0000 0.0000 1
```

=====

A plane-wave DFT calculation with PBE-GGA was carried out for an optimized crystal structure of Be2AsH.

Calculated values
ΔE to the lowest computed polymorph: 278 meV/atom
raw total energy: -3.692 eV per atom
volume: 170.07 Å³/cell
spin magnetization: 0.0 μB per formula unit

The structure in CIF format:
```
data_Be2AsH
_chemical_formula_sum 'Be8 As4 H4'
_cell_length_a 4.115
_cell_length_b 4.115
_cell_length_c 10.043
_cell_angle_alpha 90.00
_cell_angle_beta 90.00
_cell_angle_gamma 90.00
_symmetry_space_group_name_H-M 'I -4 2 d'
_symmetry_Int_Tables_number 122
_symmetry_space_group_name_Hall 'I -4 2bw'
loop_
_atom_site_label
_atom_site_type_symbol
_atom_site_fract_x
_atom_site_fract_y
_atom_site_fract_z
_atom_site_occupancy
Be1 Be 0.118 0.250 0.125 1
As1 As 0.000 0.000 0.500 1
H1 H 0.000 0.000 0.000 1
```